# SrLiBi2 GGA-PBE optimized geometry
data_SrLiBi2
_chemical_formula_sum 'Sr4 Li4 Bi8'
_space_group_name_H-M_alt 'I -4 2 d'
_space_group_IT_number 122
_space_group_name_Hall 'I -4 2bw'
_cell_length_a 5.552
_cell_length_b 5.552
_cell_length_c 18.929
_cell_angle_alpha 90.00
_cell_angle_beta 90.00
_cell_angle_gamma 90.00
loop_
_atom_site_label
_atom_site_type_symbol
_atom_site_fract_x
_atom_site_fract_y
_atom_site_fract_z
Sr1 Sr 0.000 0.000 0.000
Li1 Li 0.000 0.000 0.500
Bi1 Bi 0.134 0.250 0.625
# calculated formation energy: -0.4295 eV per atom



# PmEuHgPt GGA-PBE optimized geometry
data_PmEuHgPt
_chemical_formula_sum 'Pm4 Eu4 Hg4 Pt4'
_space_group_name_H-M_alt 'F -4 3 m'
_space_group_IT_number 216
_space_group_name_Hall 'F -4 2 3'
_cell_length_a 7.401
_cell_length_b 7.401
_cell_length_c 7.401
_cell_angle_alpha 90.00
_cell_angle_beta 90.00
_cell_angle_gamma 90.00
loop_
_atom_site_label
_atom_site_type_symbol
_atom_site_fract_x
_atom_site_fract_y
_atom_site_fract_z
Pm1 Pm 0.000 0.000 0.000
Eu1 Eu 0.000 0.000 0.500
Hg1 Hg 0.250 0.250 0.750
Pt1 Pt 0.250 0.250 0.250
# calculated formation energy: -0.7149 eV per atom



# LaVCu3 GGA-PBE optimized geometry
data_LaVCu3
_chemical_formula_sum 'La1 V1 Cu3'
_space_group_name_H-M_alt 'P m -3 m'
_space_group_IT_number 221
_space_group_name_Hall '-P 4 2 3'
_cell_length_a 4.680
_cell_length_b 4.680
_cell_length_c 4.680
_cell_angle_alpha 90.00
_cell_angle_beta 90.00
_cell_angle_gamma 90.00
loop_
_atom_site_label
_atom_site_type_symbol
_atom_site_fract_x
_atom_site_fract_y
_atom_site_fract_z
La1 La 0.000 0.000 0.000
V1 V 0.500 0.500 0.500
Cu1 Cu 0.000 0.500 0.500
# calculated formation energy: 0.4516 eV per atom



# La4Se2Br3 GGA-PBE optimized geometry
data_La4Se2Br3
_chemical_formula_sum 'La8 Se4 Br6'
_space_group_name_H-M_alt 'C 1 2/m 1'
_space_group_IT_number 12
_cell_length_a 7.495
_cell_length_b 4.327
_cell_length_c 17.648
_cell_angle_alpha 90.00
_cell_angle_beta 90.07
_cell_angle_gamma 90.00
loop_
_space_group_symop_operation_xyz
'x,y,z'
'-x,-y,-z'
'-x,y,-z'
'x,-y,z'
'x+1/2,y+1/2,z'
'-x+1/2,-y+1/2,-z'
'-x+1/2,y+1/2,-z'
'x+1/2,-y+1/2,z'
loop_
_atom_site_label
_atom_site_type_symbol
_atom_site_fract_x
_atom_site_fract_y
_atom_site_fract_z
La1 La 0.001 0.000 0.294
La2 La 0.166 0.500 0.889
Se1 Se 0.167 0.500 0.203
Br1 Br 0.000 0.000 0.000
Br2 Br 0.166 0.500 0.602
# E_tot: -5.321 eV per atom



# Ac3B2RhN6 GGA-PBE optimized geometry
data_Ac3B2RhN6
_chemical_formula_sum 'Ac3 B2 Rh1 N6'
_space_group_name_H-M_alt 'P -3 m 1'
_space_group_IT_number 164
_space_group_name_Hall '-P 3 2"'
_cell_length_a 5.5153
_cell_length_b 5.5153
_cell_length_c 6.6711
_cell_angle_alpha 90.00
_cell_angle_beta 90.00
_cell_angle_gamma 120.00
loop_
_atom_site_label
_atom_site_type_symbol
_atom_site_fract_x
_atom_site_fract_y
_atom_site_fract_z
Ac1 Ac 0.0000 0.0000 0.0000
Ac2 Ac 0.3333 0.6667 0.6774
B1 B 0.3333 0.6667 0.2827
Rh1 Rh 0.0000 0.0000 0.5000
N1 N 0.1787 0.3575 0.2886
# E_tot: -7.696 eV per atom



# Mn2CdAsS GGA-PBE optimized geometry
data_Mn2CdAsS
_chemical_formula_sum 'Mn2 Cd1 As1 S1'
_space_group_name_H-M_alt 'P 4/m m m'
_space_group_IT_number 123
_space_group_name_Hall '-P 4 2'
_cell_length_a 4.165
_cell_length_b 4.165
_cell_length_c 5.163
_cell_angle_alpha 90.00
_cell_angle_beta 90.00
_cell_angle_gamma 90.00
loop_
_atom_site_label
_atom_site_type_symbol
_atom_site_fract_x
_atom_site_fract_y
_atom_site_fract_z
Mn1 Mn 0.000 0.500 0.000
Cd1 Cd 0.000 0.000 0.500
As1 As 0.500 0.500 0.500
S1 S 0.000 0.000 0.000
# E_tot: -4.935 eV per atom



# KBa2Si2O6 GGA-PBE optimized geometry
data_KBa2Si2O6
_chemical_formula_sum 'K3 Ba6 Si6 O18'
_space_group_name_H-M_alt 'R -3 m'
_space_group_IT_number 166
_space_group_name_Hall '-R 3 2"'
_cell_length_a 5.8866
_cell_length_b 5.8866
_cell_length_c 20.7756
_cell_angle_alpha 90.00
_cell_angle_beta 90.00
_cell_angle_gamma 120.00
loop_
_atom_site_label
_atom_site_type_symbol
_atom_site_fract_x
_atom_site_fract_y
_atom_site_fract_z
K1 K 0.0000 0.0000 0.0000
Ba1 Ba 0.0000 0.0000 0.2063
Si1 Si 0.0000 0.0000 0.4234
O1 O 0.0212 0.5106 0.2328
# E_tot: -6.543 eV per atom



# Cs4Dy3InO8 GGA-PBE optimized geometry
data_Cs4Dy3InO8
_chemical_formula_sum 'Cs12 Dy9 In3 O24'
_space_group_name_H-M_alt 'R -3 m'
_space_group_IT_number 166
_space_group_name_Hall '-R 3 2"'
_cell_length_a 7.0759
_cell_length_b 7.0759
_cell_length_c 20.6176
_cell_angle_alpha 90.00
_cell_angle_beta 90.00
_cell_angle_gamma 120.00
loop_
_atom_site_label
_atom_site_type_symbol
_atom_site_fract_x
_atom_site_fract_y
_atom_site_fract_z
Cs1 Cs 0.0000 0.0000 0.0000
Cs2 Cs 0.0000 0.5000 0.0000
Dy1 Dy 0.0000 0.5000 0.5000
In1 In 0.0000 0.0000 0.5000
O1 O 0.0000 0.0000 0.2209
O2 O 0.0019 0.5009 0.2221
# E_tot: -6.023 eV per atom



# CdH2I GGA-PBE optimized geometry
data_CdH2I
_chemical_formula_sum 'Cd4 H8 I4'
_space_group_name_H-M_alt 'I 41/a m d'
_space_group_IT_number 141
_cell_length_a 6.062
_cell_length_b 6.062
_cell_length_c 8.612
_cell_angle_alpha 90.00
_cell_angle_beta 90.00
_cell_angle_gamma 90.00
loop_
_space_group_symop_operation_xyz
'x,y,z'
'-x,-y,-z'
'-y+1/4,x+3/4,z+1/4'
'y+1/4,-x+3/4,-z+1/4'
'-x+1/2,-y,z+1/2'
'x+1/2,y,-z+1/2'
'y+1/4,-x+1/4,z+3/4'
'-y+1/4,x+1/4,-z+3/4'
'x,-y,-z'
'-x,y,z'
'-y+1/4,-x+1/4,-z+3/4'
'y+1/4,x+1/4,z+3/4'
'-x+1/2,y,-z+1/2'
'x+1/2,-y,z+1/2'
'y+1/4,x+3/4,-z+1/4'
'-y+1/4,-x+3/4,z+1/4'
'x+1/2,y+1/2,z+1/2'
'-x+1/2,-y+1/2,-z+1/2'
'-y+3/4,x+1/4,z+3/4'
'y+3/4,-x+1/4,-z+3/4'
'-x,-y+1/2,z'
'x,y+1/2,-z'
'y+3/4,-x+3/4,z+1/4'
'-y+3/4,x+3/4,-z+1/4'
'x+1/2,-y+1/2,-z+1/2'
'-x+1/2,y+1/2,z+1/2'
'-y+3/4,-x+3/4,-z+1/4'
'y+3/4,x+3/4,z+1/4'
'-x,y+1/2,-z'
'x,-y+1/2,z'
'y+3/4,x+1/4,-z+3/4'
'-y+3/4,-x+1/4,z+3/4'
loop_
_atom_site_label
_atom_site_type_symbol
_atom_site_fract_x
_atom_site_fract_y
_atom_site_fract_z
Cd1 Cd 0.000 0.250 0.375
H1 H 0.000 0.000 0.500
I1 I 0.000 0.250 0.875
# E_tot: -1.938 eV per atom



# ZnIr2Pt GGA-PBE optimized geometry
data_ZnIr2Pt
_chemical_formula_sum 'Zn2 Ir4 Pt2'
_space_group_name_H-M_alt 'I m m 2'
_space_group_IT_number 44
_cell_length_a 2.775
_cell_length_b 4.670
_cell_length_c 9.206
_cell_angle_alpha 90.00
_cell_angle_beta 90.00
_cell_angle_gamma 90.00
loop_
_space_group_symop_operation_xyz
'x,y,z'
'-x,-y,z'
'-x,y,z'
'x,-y,z'
'x+1/2,y+1/2,z+1/2'
'-x+1/2,-y+1/2,z+1/2'
'-x+1/2,y+1/2,z+1/2'
'x+1/2,-y+1/2,z+1/2'
loop_
_atom_site_label
_atom_site_type_symbol
_atom_site_fract_x
_atom_site_fract_y
_atom_site_fract_z
Zn1 Zn 0.000 0.000 0.000
Ir1 Ir 0.000 0.000 0.508
Ir2 Ir 0.000 0.500 0.252
Pt1 Pt 0.000 0.500 0.748
# calculated formation energy: 0.0614 eV per atom



# LiAlP2 GGA-PBE optimized geometry
data_LiAlP2
_chemical_formula_sum 'Li2 Al2 P4'
_space_group_name_H-M_alt 'A m m 2'
_space_group_IT_number 38
_cell_length_a 3.815
_cell_length_b 2.801
_cell_length_c 13.610
_cell_angle_alpha 90.00
_cell_angle_beta 90.00
_cell_angle_gamma 90.00
loop_
_space_group_symop_operation_xyz
'x,y,z'
'-x,-y,z'
'-x,y,z'
'x,-y,z'
'x,y+1/2,z+1/2'
'-x,-y+1/2,z+1/2'
'-x,y+1/2,z+1/2'
'x,-y+1/2,z+1/2'
loop_
_atom_site_label
_atom_site_type_symbol
_atom_site_fract_x
_atom_site_fract_y
_atom_site_fract_z
Li1 Li 0.000 0.000 0.000
Al1 Al 0.500 0.000 0.231
P1 P 0.000 0.000 0.333
P2 P 0.500 0.000 0.587
# calculated formation energy: -0.2920 eV per atom



# BeNbPO2 GGA-PBE optimized geometry
data_BeNbPO2
_chemical_formula_sum 'Be1 Nb1 P1 O2'
_space_group_name_H-M_alt 'P 4/m m m'
_space_group_IT_number 123
_space_group_name_Hall '-P 4 2'
_cell_length_a 3.503
_cell_length_b 3.503
_cell_length_c 4.502
_cell_angle_alpha 90.00
_cell_angle_beta 90.00
_cell_angle_gamma 90.00
loop_
_atom_site_label
_atom_site_type_symbol
_atom_site_fract_x
_atom_site_fract_y
_atom_site_fract_z
Be1 Be 0.000 0.000 0.000
Nb1 Nb 0.500 0.500 0.500
P1 P 0.000 0.000 0.500
O1 O 0.000 0.500 0.000
# E_tot: -6.468 eV per atom



# Ac2HoTmSe6 GGA-PBE optimized geometry
data_Ac2HoTmSe6
_chemical_formula_sum 'Ac4 Ho2 Tm2 Se12'
_space_group_name_H-M_alt 'P 1 21/c 1'
_space_group_IT_number 14
_cell_length_a 7.148
_cell_length_b 7.862
_cell_length_c 12.710
_cell_angle_alpha 90.00
_cell_angle_beta 124.11
_cell_angle_gamma 90.00
loop_
_space_group_symop_operation_xyz
'x,y,z'
'-x,-y,-z'
'-x,y+1/2,-z+1/2'
'x,-y+1/2,z+1/2'
loop_
_atom_site_label
_atom_site_type_symbol
_atom_site_fract_x
_atom_site_fract_y
_atom_site_fract_z
Ac1 Ac 0.214 0.096 0.250
Ho1 Ho 0.500 0.000 0.000
Tm1 Tm 0.000 0.000 0.500
Se1 Se 0.115 0.189 0.937
Se2 Se 0.258 0.687 0.937
Se3 Se 0.377 0.038 0.749
# E_tot: -5.793 eV per atom



# Y2PPb GGA-PBE optimized geometry
data_Y2PPb
_chemical_formula_sum 'Y4 P2 Pb2'
_space_group_name_H-M_alt 'C 1 2/m 1'
_space_group_IT_number 12
_cell_length_a 7.229
_cell_length_b 7.922
_cell_length_c 3.686
_cell_angle_alpha 90.00
_cell_angle_beta 103.66
_cell_angle_gamma 90.00
loop_
_space_group_symop_operation_xyz
'x,y,z'
'-x,-y,-z'
'-x,y,-z'
'x,-y,z'
'x+1/2,y+1/2,z'
'-x+1/2,-y+1/2,-z'
'-x+1/2,y+1/2,-z'
'x+1/2,-y+1/2,z'
loop_
_atom_site_label
_atom_site_type_symbol
_atom_site_fract_x
_atom_site_fract_y
_atom_site_fract_z
Y1 Y 0.250 0.250 0.000
P1 P 0.000 0.000 0.500
Pb1 Pb 0.000 0.500 0.500
# calculated formation energy: -0.6219 eV per atom



# CePuIr GGA-PBE optimized geometry
data_CePuIr
_chemical_formula_sum 'Ce4 Pu4 Ir4'
_space_group_name_H-M_alt 'F -4 3 m'
_space_group_IT_number 216
_space_group_name_Hall 'F -4 2 3'
_cell_length_a 6.819
_cell_length_b 6.819
_cell_length_c 6.819
_cell_angle_alpha 90.00
_cell_angle_beta 90.00
_cell_angle_gamma 90.00
loop_
_atom_site_label
_atom_site_type_symbol
_atom_site_fract_x
_atom_site_fract_y
_atom_site_fract_z
Ce1 Ce 0.000 0.000 0.000
Pu1 Pu 0.000 0.000 0.500
Ir1 Ir 0.250 0.250 0.250
# calculated formation energy: -0.3963 eV per atom



# AlSb4 GGA-PBE optimized geometry
data_AlSb4
_chemical_formula_sum 'Al2 Sb8'
_space_group_name_H-M_alt 'I m -3 m'
_space_group_IT_number 229
_space_group_name_Hall '-I 4 2 3'
_cell_length_a 6.640
_cell_length_b 6.640
_cell_length_c 6.640
_cell_angle_alpha 90.00
_cell_angle_beta 90.00
_cell_angle_gamma 90.00
loop_
_atom_site_label
_atom_site_type_symbol
_atom_site_fract_x
_atom_site_fract_y
_atom_site_fract_z
Al1 Al 0.000 0.000 0.000
Sb1 Sb 0.250 0.250 0.250
# E_tot: -3.816 eV per atom



# Ho7Te2Se2 GGA-PBE optimized geometry
data_Ho7Te2Se2
_chemical_formula_sum 'Ho14 Te4 Se4'
_space_group_name_H-M_alt 'C 1 2/m 1'
_space_group_IT_number 12
_cell_length_a 8.226
_cell_length_b 11.908
_cell_length_c 7.519
_cell_angle_alpha 90.00
_cell_angle_beta 106.25
_cell_angle_gamma 90.00
loop_
_space_group_symop_operation_xyz
'x,y,z'
'-x,-y,-z'
'-x,y,-z'
'x,-y,z'
'x+1/2,y+1/2,z'
'-x+1/2,-y+1/2,-z'
'-x+1/2,y+1/2,-z'
'x+1/2,-y+1/2,z'
loop_
_atom_site_label
_atom_site_type_symbol
_atom_site_fract_x
_atom_site_fract_y
_atom_site_fract_z
Ho1 Ho 0.000 0.000 0.000
Ho2 Ho 0.095 0.500 0.831
Ho3 Ho 0.189 0.274 0.199
Te1 Te 0.000 0.320 0.500
Se1 Se 0.224 0.000 0.769
# E_tot: -4.958 eV per atom



# Zr3TiAs GGA-PBE optimized geometry
data_Zr3TiAs
_chemical_formula_sum 'Zr3 Ti1 As1'
_space_group_name_H-M_alt 'P m -3 m'
_space_group_IT_number 221
_space_group_name_Hall '-P 4 2 3'
_cell_length_a 5.001
_cell_length_b 5.001
_cell_length_c 5.001
_cell_angle_alpha 90.00
_cell_angle_beta 90.00
_cell_angle_gamma 90.00
loop_
_atom_site_label
_atom_site_type_symbol
_atom_site_fract_x
_atom_site_fract_y
_atom_site_fract_z
Zr1 Zr 0.000 0.000 0.500
Ti1 Ti 0.500 0.500 0.500
As1 As 0.000 0.000 0.000
# calculated formation energy: 0.1494 eV per atom



# ZnCu2Pt5Rh GGA-PBE optimized geometry
data_ZnCu2Pt5Rh
_chemical_formula_sum 'Zn4 Cu8 Pt20 Rh4'
_space_group_name_H-M_alt 'I 4/m c m'
_space_group_IT_number 140
_space_group_name_Hall '-I 4 2c'
_cell_length_a 7.249
_cell_length_b 7.249
_cell_length_c 10.793
_cell_angle_alpha 90.00
_cell_angle_beta 90.00
_cell_angle_gamma 90.00
loop_
_atom_site_label
_atom_site_type_symbol
_atom_site_fract_x
_atom_site_fract_y
_atom_site_fract_z
Zn1 Zn 0.000 0.000 0.250
Cu1 Cu 0.106 0.394 0.000
Pt1 Pt 0.000 0.000 0.000
Pt2 Pt 0.206 0.294 0.370
Rh1 Rh 0.000 0.500 0.250
# calculated formation energy: 0.1804 eV per atom



# ZrGaC2Br GGA-PBE optimized geometry
data_ZrGaC2Br
_chemical_formula_sum 'Zr1 Ga1 C2 Br1'
_space_group_name_H-M_alt 'P 4/m m m'
_space_group_IT_number 123
_space_group_name_Hall '-P 4 2'
_cell_length_a 4.345
_cell_length_b 4.345
_cell_length_c 5.700
_cell_angle_alpha 90.00
_cell_angle_beta 90.00
_cell_angle_gamma 90.00
loop_
_atom_site_label
_atom_site_type_symbol
_atom_site_fract_x
_atom_site_fract_y
_atom_site_fract_z
Zr1 Zr 0.000 0.000 0.000
Ga1 Ga 0.500 0.500 0.500
C1 C 0.000 0.500 0.000
Br1 Br 0.000 0.000 0.500
# E_tot: -5.166 eV per atom